This record from Alexandria via LeMat-Bulk describes Cr3IF after structural relaxation. The functional is PBE with a Hubbard U.

**Size of the total moment**: 15.7 μB/f.u.
**Offset from the most stable computed form**: 0.6156 eV per atom
**Symmetry**: No. 221
**Raw total energy**: -23.4 eV for the cell shown

```
Cr3IF
1.0
5.612 0.000 0.000
0.000 5.612 0.000
0.000 0.000 5.612
I Cr F
1 3 1
Direct
0.000 0.000 0.000 I
0.000 0.500 0.000 Cr
0.000 0.000 0.500 Cr
0.500 0.000 0.000 Cr
0.500 0.500 0.500 F
```